[1]
# LiZrCr2

A crystal of LiZrCr2 relaxed with PBEsol (SCAN, Alexandria via LeMat-Bulk).

Structure (extended XYZ):
```
4
Lattice="2.922 0.000 0.000 0.000 2.922 0.000 0.000 0.000 7.299" Properties=species:S:1:pos:R:3 pbc="T T T"
Cr 0.000 0.000 0.353
Cr 1.461 1.461 1.503
Li 0.000 0.000 3.327
Zr 1.461 1.461 5.765
```


[2]
# LiZr2Cr

A crystal of LiZr2Cr relaxed with PBEsol (SCAN, Alexandria via LeMat-Bulk).

Structure (extended XYZ):
```
4
Lattice="-0.122 0.885 -3.086 2.214 -2.213 -0.722 -5.120 -4.745 -1.158" Properties=species:S:1:pos:R:3 pbc="T T T"
Cr -2.653 -2.459 -0.600
Li -2.602 -4.045 -2.729
Zr -5.056 -4.685 -1.143
Zr -0.397 -2.001 -2.230
```


[3]
# LiZrCr4

A crystal of LiZrCr4 relaxed with PBEsol (SCAN, Alexandria via LeMat-Bulk).

Structure (extended XYZ):
```
6
Lattice="4.869 0.000 0.000 2.435 4.217 0.000 2.435 1.406 3.976" Properties=species:S:1:pos:R:3 pbc="T T T"
Cr 3.657 2.111 1.493
Cr 4.869 2.811 3.472
Cr 6.081 2.111 1.493
Cr 4.869 4.211 1.493
Li 7.304 4.217 2.982
Zr 0.000 0.000 0.000
```


Number 1: Fermi-level density of states 0.64 states/eV/atom, energy of formation 200 meV per atom. Number 2: Fermi-level density of states 0.73 states/eV/atom, energy of formation 226 meV per atom. Number 3: Fermi-level density of states 1.58 states/eV/atom, energy of formation 423 meV per atom.